No. 1
PBE PrHoGa2Ni2, optimized geometry; SG = P-3m1 (164)
1.0
4.322 0.000 0.000
-2.161 3.743 0.000
0.000 0.000 7.229
Ni Ga Pr Ho
2 2 1 1
direct
0.333 0.667 0.722
0.667 0.333 0.278
0.667 0.333 0.727
0.333 0.667 0.273
0.000 0.000 0.000
0.000 0.000 0.500

---

No. 2
PBE HoGa4Ni2Pt, optimized geometry; SG = R-3m (166)
1.0
4.145 0.000 0.000
2.073 3.590 0.000
2.073 1.197 8.718
Pt Ni Ga Ho
1 2 4 1
direct
0.500 0.500 0.500
0.235 0.235 0.294
0.765 0.765 0.706
0.399 0.399 0.804
0.874 0.874 0.377
0.126 0.126 0.623
0.601 0.601 0.196
0.000 0.000 0.000

---

No. 3
PBE HoGa3NiPt, optimized geometry; SG = Cmcm (63)
1.0
5.761 0.000 0.000
0.000 6.037 0.000
0.000 -3.019 6.081
Ga Pt Ni Ho
6 2 2 2
direct
0.250 0.143 0.286
0.000 0.291 0.000
0.750 0.857 0.714
0.500 0.709 0.000
0.000 0.709 0.000
0.500 0.291 0.000
0.750 0.653 0.307
0.250 0.347 0.693
0.250 0.942 0.883
0.750 0.058 0.117
0.250 0.728 0.455
0.750 0.272 0.545

---

| no. | DFT formation energy (eV per atom) | N(E_F) (states/eV per cell) |
| --- | --- | --- |
| 1 | -0.57 | 5.35 |
| 2 | -0.50 | 4.15 |
| 3 | -0.53 | 6.22 |